No. 1
Below is crystalline Na2Ga6Cu at its relaxed geometry, with properties calculated at the PBE-GGA level.

Summary:
D(E_F), states/eV/cell: 3.395
Relative energy among the computed polymorphs, eV per atom: 0.0078
Size of the total moment, μB per atom: 0.0000
Energy of formation, eV/atom: -0.073
Space-group type: C2/m (12)

Structure (extended XYZ):
```
9
Lattice="5.938 0.000 0.000 -2.969 5.091 1.197 0.000 0.273 5.871" Properties=species:S:1:pos:R:3 pbc="T T T"
Ga 1.338 3.900 2.837
Ga -1.338 3.900 2.837
Ga 1.631 1.464 4.231
Ga 2.969 4.053 4.945
Ga 4.307 1.464 4.231
Ga 0.000 1.311 2.123
Na 0.000 3.764 5.842
Na 2.969 1.600 1.225
Cu 0.000 0.000 0.000
```

No. 2
Below is crystalline Na2Ga4Cu5 at its relaxed geometry, with properties calculated at the PBE-GGA level.

Summary:
D(E_F), states/eV/cell: 3.127
Size of the total moment, μB per atom: 0.0000
Energy of formation, eV/atom: -0.074
Space-group type: Fmmm (69)

Structure (extended XYZ):
```
11
Lattice="4.968 0.000 1.774 2.484 4.494 0.887 -0.180 0.000 8.349" Properties=species:S:1:pos:R:3 pbc="T T T"
Cu 1.242 2.247 0.443
Cu 2.484 0.000 0.887
Cu 2.394 2.247 5.061
Cu 4.878 2.247 5.948
Cu 3.726 2.247 1.330
Ga 2.986 1.454 7.327
Ga 1.803 1.454 2.795
Ga 4.287 3.039 3.682
Ga 5.470 3.039 8.213
Na 0.529 0.000 6.364
Na 4.259 0.000 3.758
```

No. 3
Below is crystalline Na3Ga9Cu2 at its relaxed geometry, with properties calculated at the PBE-GGA level.

Summary:
D(E_F), states/eV/cell: 5.016
Size of the total moment, μB per atom: 0.0000
Energy of formation, eV/atom: -0.115
Space-group type: Immm (71)

Structure (extended XYZ):
```
14
Lattice="4.264 0.000 0.000 2.132 7.961 0.022 2.132 1.826 7.749" Properties=species:S:1:pos:R:3 pbc="T T T"
Ga 2.132 2.333 4.569
Ga 6.396 8.975 5.420
Ga 2.132 4.979 1.237
Ga 6.396 4.809 6.535
Ga 2.132 4.894 3.886
Ga 6.396 7.454 3.203
Ga 6.396 7.314 7.513
Ga 2.132 2.474 0.258
Ga 2.132 0.812 2.351
Na 0.000 0.000 0.000
Na 4.264 6.728 5.342
Na 4.264 3.059 2.429
Cu 4.264 6.233 2.198
Cu 4.264 3.554 5.573
```

No. 4
Below is crystalline NaGa2Cu2 at its relaxed geometry, with properties calculated at the PBE-GGA level.

Summary:
D(E_F), states/eV/cell: 2.344
Relative energy among the computed polymorphs, eV per atom: 0.0012
Size of the total moment, μB per atom: 0.0000
Energy of formation, eV/atom: -0.066
Space-group type: P4/mbm (127)

Structure (extended XYZ):
```
10
Lattice="-6.041 4.444 -1.654 -4.442 -6.241 -0.543 -0.579 0.185 2.611" Properties=species:S:1:pos:R:3 pbc="T T T"
Ga -4.385 1.988 -1.113
Ga -6.099 -3.785 -1.084
Ga -8.055 -0.067 -1.781
Ga -2.429 -1.730 -0.416
Cu -8.019 -2.150 -0.249
Cu -6.809 1.715 -0.255
Cu -3.044 0.538 0.663
Cu -4.254 -3.327 0.669
Na -5.242 -0.899 -1.099
Na 0.000 0.000 0.000
```

No. 5
Below is crystalline NaGa3Cu3 at its relaxed geometry, with properties calculated at the PBE-GGA level.

Summary:
D(E_F), states/eV/cell: 4.434
Size of the total moment, μB per atom: 0.0000
Energy of formation, eV/atom: 0.224
Space-group type: Pm-3n (223)

Structure (extended XYZ):
```
14
Lattice="-1.739 -1.911 6.265 -5.248 -3.473 -2.516 3.920 -5.497 -0.588" Properties=species:S:1:pos:R:3 pbc="T T T"
Ga -2.182 -1.824 2.504
Ga 0.316 -5.859 -1.699
Ga -1.644 -3.111 -1.405
Ga 1.525 -3.226 1.272
Ga 0.655 -4.181 4.405
Ga -4.805 -3.560 1.246
Cu 2.070 -5.078 2.692
Cu 0.110 -2.330 2.986
Cu 0.648 -3.617 -0.923
Cu -3.928 -3.169 3.441
Cu -3.059 -2.214 0.308
Cu -1.976 -5.353 -2.181
Na 0.000 0.000 0.000
Na -1.534 -5.440 1.581
```

No. 6
Below is crystalline Na2GaCu2 at its relaxed geometry, with properties calculated at the PBE-GGA level.

Summary:
D(E_F), states/eV/cell: 1.798
Relative energy among the computed polymorphs, eV per atom: 0.3253
Size of the total moment, μB per atom: 0.0000
Energy of formation, eV/atom: 0.428
Space-group type: I4/mmm (139)

Structure (extended XYZ):
```
5
Lattice="3.893 0.000 0.000 0.000 3.893 0.000 1.946 1.946 6.663" Properties=species:S:1:pos:R:3 pbc="T T T"
Na 1.946 3.893 3.332
Na 3.893 1.946 3.332
Cu 1.946 1.946 1.158
Cu 3.893 3.893 5.505
Ga 0.000 0.000 0.000
```

No. 7
Below is crystalline NaGa2Cu at its relaxed geometry, with properties calculated at the PBE-GGA level.

Summary:
D(E_F), states/eV/cell: 1.021
Size of the total moment, μB per atom: 0.0000
Energy of formation, eV/atom: 0.124
Space-group type: R-3m (166)

Structure (extended XYZ):
```
4
Lattice="3.024 0.000 0.000 1.512 2.619 0.000 1.512 0.873 9.758" Properties=species:S:1:pos:R:3 pbc="T T T"
Ga 1.512 0.873 6.828
Ga 4.537 2.619 2.931
Na 0.000 0.000 0.000
Cu 3.024 1.746 4.879
```

No. 8
Below is crystalline NaGa8Cu2 at its relaxed geometry, with properties calculated at the PBE-GGA level.

Summary:
D(E_F), states/eV/cell: 4.206
Size of the total moment, μB per atom: 0.0000
Energy of formation, eV/atom: 0.110
Space-group type: P4/mmm (123)

Structure (extended XYZ):
```
11
Lattice="5.643 0.000 0.000 0.000 5.643 0.000 0.000 0.000 7.965" Properties=species:S:1:pos:R:3 pbc="T T T"
Ga 1.396 4.248 6.409
Ga 1.396 1.396 6.409
Ga 4.248 4.248 6.409
Ga 4.248 4.248 1.557
Ga 1.396 1.396 1.557
Ga 4.248 1.396 6.409
Ga 4.248 1.396 1.557
Ga 1.396 4.248 1.557
Cu 0.000 2.822 0.000
Cu 2.822 0.000 0.000
Na 2.822 2.822 3.983
```

What did the second record say?
Below is crystalline Na2Ga4Cu5 at its relaxed geometry, with properties calculated at the PBE-GGA level.

Summary:
D(E_F), states/eV/cell: 3.127
Size of the total moment, μB per atom: 0.0000
Energy of formation, eV/atom: -0.074
Space-group type: Fmmm (69)

Structure (extended XYZ):
```
11
Lattice="4.968 0.000 1.774 2.484 4.494 0.887 -0.180 0.000 8.349" Properties=species:S:1:pos:R:3 pbc="T T T"
Cu 1.242 2.247 0.443
Cu 2.484 0.000 0.887
Cu 2.394 2.247 5.061
Cu 4.878 2.247 5.948
Cu 3.726 2.247 1.330
Ga 2.986 1.454 7.327
Ga 1.803 1.454 2.795
Ga 4.287 3.039 3.682
Ga 5.470 3.039 8.213
Na 0.529 0.000 6.364
Na 4.259 0.000 3.758
```